This record from the Alexandria database describes La3NdPt after structural relaxation. The functional is PBE.

```
data_La3NdPt
_chemical_formula_sum 'La6 Nd2 Pt2'
_cell_length_a 8.084
_cell_length_b 6.952
_cell_length_c 6.398
_cell_angle_alpha 90.00
_cell_angle_beta 90.00
_cell_angle_gamma 90.00
_symmetry_space_group_name_H-M 'P m n 21'
_symmetry_Int_Tables_number 31
_symmetry_space_group_name_Hall 'P 2ac -2'
loop_
_atom_site_label
_atom_site_type_symbol
_atom_site_fract_x
_atom_site_fract_y
_atom_site_fract_z
La1 La 0.000 0.147 0.000
La2 La 0.249 0.691 0.004
Nd1 Nd 0.000 0.851 0.515
Pt1 Pt 0.000 0.501 0.257
```

Results
- E_form (eV per atom) = -0.384
- distance to the lowest polymorph of the same formula (kJ per mole of atoms) = 9.8
- Fermi-level density of states (states/eV/atom) = 1.4429